Material: Pr6Ge2CBr3
Method: DFT, PBE
State: optimized geometry

* size of the total moment: 0.0 μB/f.u.
* formation energy without anion corrections: -100 kJ per mole of atoms
* D(E_F): 5.455 states/eV/cell

extended XYZ file:
```
12
Lattice="3.626 -6.271 0.000 3.626 6.271 0.000 -2.416 0.000 7.470" Properties=species:S:1:pos:R:3 pbc="T T T"
Pr 1.103 1.908 1.493
Pr -0.215 0.000 5.970
Pr 1.103 -1.908 1.493
Pr 3.733 1.908 5.977
Pr 5.051 0.000 1.500
Pr 3.733 -1.908 5.977
Ge 3.626 2.087 0.000
Ge 3.626 -2.087 0.000
C 0.000 0.000 0.000
Br 2.418 4.123 3.735
Br 2.418 0.000 3.735
Br 2.418 -4.123 3.735
```